Entry P
# Sc2SiBi2

An optimized crystal structure of Sc2SiBi2 (GGA-PBE, the Alexandria database).

Cell lengths 7.9908, 7.9908, 3.9928 Å; angles 90.00, 90.00, 90.00 degrees
Fractional positions:
Sc: 0.1446 0.3554 0.0000
Sc: 0.3554 0.8554 0.0000
Sc: 0.6446 0.1446 0.0000
Sc: 0.8554 0.6446 0.0000
Si: 0.0000 0.0000 0.5000
Si: 0.5000 0.5000 0.5000
Bi: 0.1574 0.6574 0.5000
Bi: 0.3426 0.1574 0.5000
Bi: 0.6574 0.8426 0.5000
Bi: 0.8426 0.3426 0.5000


Entry Q
# Sc2SiBi2

An optimized crystal structure of Sc2SiBi2 (GGA-PBE, the Alexandria database).

Cell lengths 5.9750, 5.9750, 5.9750 Å; angles 123.21, 123.21, 84.53 degrees
Fractional positions:
Sc: 0.2500 0.7500 0.5000
Sc: 0.7500 0.2500 0.5000
Si: 0.0000 0.0000 0.0000
Bi: 0.3235 0.3235 0.0000
Bi: 0.6765 0.6765 0.0000


entry P ends up most stable, edging out the next structure by 19.6 kJ/mol of atoms.


Entry P
# ScSiBi3

An optimized crystal structure of ScSiBi3 (GGA-PBE, the Alexandria database).

Cell lengths 5.5596, 5.5596, 5.5596 Å; angles 90.00, 90.00, 90.00 degrees
Fractional positions:
Sc: 0.0000 0.0000 0.0000
Si: 0.5000 0.5000 0.5000
Bi: 0.0000 0.0000 0.5000
Bi: 0.0000 0.5000 0.0000
Bi: 0.5000 0.0000 0.0000


Entry Q
# ScSiBi3

An optimized crystal structure of ScSiBi3 (GGA-PBE, the Alexandria database).

Cell lengths 5.3919, 5.3919, 5.3919 Å; angles 90.00, 90.00, 90.00 degrees
Fractional positions:
Sc: 0.0000 0.0000 0.0000
Si: 0.5000 0.5000 0.5000
Bi: 0.0000 0.5000 0.5000
Bi: 0.5000 0.0000 0.5000
Bi: 0.5000 0.5000 0.0000


entry Q ends up most stable, edging out the next structure by 9.4 kJ/mol of atoms.


Entry P
# Sc2SiBi

An optimized crystal structure of Sc2SiBi (GGA-PBE, the Alexandria database).

Cell lengths 9.2585, 9.2585, 9.2585 Å; angles 24.54, 24.54, 24.54 degrees
Fractional positions:
Sc: 0.0981 0.0981 0.0981
Sc: 0.9019 0.9019 0.9019
Si: 0.0000 0.0000 0.0000
Bi: 0.5000 0.5000 0.5000


Entry Q
# Sc2SiBi

An optimized crystal structure of Sc2SiBi (GGA-PBE, the Alexandria database).

Cell lengths 6.2926, 6.2926, 6.2926 Å; angles 105.24, 105.24, 118.32 degrees
Fractional positions:
Sc: 0.0922 0.6250 0.9672
Sc: 0.3750 0.3422 0.4672
Sc: 0.6578 0.1250 0.0328
Sc: 0.8750 0.9078 0.5328
Si: 0.0000 0.0000 0.0000
Si: 0.7500 0.2500 0.5000
Bi: 0.2500 0.7500 0.5000
Bi: 0.5000 0.5000 0.0000


entry Q ends up most stable, edging out the next structure by 58.3 kJ/mol of atoms.


Entry P
# Sc2SiBi

An optimized crystal structure of Sc2SiBi (GGA-PBE, the Alexandria database).

Cell lengths 5.0100, 5.0100, 5.0100 Å; angles 60.00, 60.00, 60.00 degrees
Fractional positions:
Sc: 0.2500 0.2500 0.2500
Sc: 0.7500 0.7500 0.7500
Si: 0.0000 0.0000 0.0000
Bi: 0.5000 0.5000 0.5000


Entry Q
# Sc2SiBi

An optimized crystal structure of Sc2SiBi (GGA-PBE, the Alexandria database).

Cell lengths 9.0130, 9.0130, 9.0130 Å; angles 24.74, 24.74, 24.74 degrees
Fractional positions:
Sc: 0.1133 0.1133 0.1133
Sc: 0.8867 0.8867 0.8867
Si: 0.5000 0.5000 0.5000
Bi: 0.0000 0.0000 0.0000


entry P ends up most stable, edging out the next structure by 1.7 kJ/mol of atoms.


Entry P
# ScSnBi3

An optimized crystal structure of ScSnBi3 (GGA-PBE, the Alexandria database).

Cell lengths 5.7356, 5.7356, 5.7356 Å; angles 90.00, 90.00, 90.00 degrees
Fractional positions:
Sc: 0.0000 0.0000 0.0000
Sn: 0.5000 0.5000 0.5000
Bi: 0.0000 0.5000 0.5000
Bi: 0.5000 0.0000 0.5000
Bi: 0.5000 0.5000 0.0000


Entry Q
# ScSnBi3

An optimized crystal structure of ScSnBi3 (GGA-PBE, the Alexandria database).

Cell lengths 5.6100, 5.6100, 5.6100 Å; angles 90.00, 90.00, 90.00 degrees
Fractional positions:
Sc: 0.0000 0.0000 0.0000
Sn: 0.5000 0.5000 0.5000
Bi: 0.0000 0.0000 0.5000
Bi: 0.0000 0.5000 0.0000
Bi: 0.5000 0.0000 0.0000


entry Q ends up most stable, edging out the next structure by 46.1 kJ/mol of atoms.


Entry P
# ScSnBi

An optimized crystal structure of ScSnBi (GGA-PBE, the Alexandria database).

Cell lengths 5.7545, 5.7545, 5.7545 Å; angles 140.37, 140.37, 57.29 degrees
Fractional positions:
Sc: 0.0000 0.0000 0.0000
Sn: 0.6563 0.6563 0.0000
Bi: 0.3441 0.3441 0.0000


Entry Q
# ScSnBi

An optimized crystal structure of ScSnBi (GGA-PBE, the Alexandria database).

Cell lengths 5.3795, 5.3795, 3.2236 Å; angles 90.00, 90.00, 120.00 degrees
Fractional positions:
Sc: 0.0000 0.0000 0.0000
Sn: 0.3333 0.6667 0.4283
Bi: 0.6667 0.3333 0.5200


entry P ends up most stable, edging out the next structure by 19.3 kJ/mol of atoms.


Entry P
# ScSnBi

An optimized crystal structure of ScSnBi (GGA-PBE, the Alexandria database).

Cell lengths 4.3743, 6.2195, 6.4227 Å; angles 103.86, 90.08, 110.48 degrees
Fractional positions:
Sc: 0.1537 0.3081 0.0892
Sc: 0.8463 0.6919 0.9108
Sn: 0.2031 0.4054 0.6134
Sn: 0.7969 0.5946 0.3866
Bi: 0.4812 0.9629 0.2391
Bi: 0.5188 0.0371 0.7609


Entry Q
# ScSnBi

An optimized crystal structure of ScSnBi (GGA-PBE, the Alexandria database).

Cell lengths 9.1647, 8.4359, 7.2057 Å; angles 71.24, 60.64, 48.11 degrees
Fractional positions:
Sc: 0.0551 0.6949 0.6949
Sc: 0.3051 0.9449 0.9449
Sc: 0.6949 0.0551 0.0551
Sc: 0.9449 0.3051 0.3051
Sn: 0.0543 0.0543 0.6957
Sn: 0.3043 0.3043 0.9457
Sn: 0.6957 0.6957 0.0543
Sn: 0.9457 0.9457 0.3043
Bi: 0.0000 0.5000 0.5000
Bi: 0.5000 0.0000 0.5000
Bi: 0.5000 0.5000 0.0000
Bi: 0.5000 0.5000 0.5000


entry P ends up most stable, edging out the next structure by 26.5 kJ/mol of atoms.


Entry P
# Sc4SnBi2

An optimized crystal structure of Sc4SnBi2 (GGA-PBE, the Alexandria database).

Cell lengths 9.2557, 7.9540, 7.9415 Å; angles 71.22, 54.45, 54.33 degrees
Fractional positions:
Sc: 0.1191 0.3193 0.3204
Sc: 0.2588 0.6796 0.6807
Sc: 0.3193 0.1191 0.7412
Sc: 0.3204 0.7412 0.1191
Sc: 0.6796 0.2588 0.8809
Sc: 0.6807 0.8809 0.2588
Sc: 0.7412 0.3204 0.3193
Sc: 0.8809 0.6807 0.6796
Sn: 0.3750 0.3750 0.3750
Sn: 0.6250 0.6250 0.6250
Bi: 0.0000 0.0000 0.0000
Bi: 0.0000 0.0000 0.5000
Bi: 0.0000 0.5000 0.0000
Bi: 0.5000 0.0000 0.0000


Entry Q
# Sc4SnBi2

An optimized crystal structure of Sc4SnBi2 (GGA-PBE, the Alexandria database).

Cell lengths 8.5785, 8.5785, 8.5785 Å; angles 144.55, 144.55, 51.00 degrees
Fractional positions:
Sc: 0.0000 0.5000 0.5000
Sc: 0.1776 0.1776 0.0000
Sc: 0.5000 0.0000 0.5000
Sc: 0.8224 0.8224 0.0000
Sn: 0.0000 0.0000 0.0000
Bi: 0.3658 0.3658 0.0000
Bi: 0.6342 0.6342 0.0000


entry P ends up most stable, edging out the next structure by 27.4 kJ/mol of atoms.


Entry P
# Sr2ScBi2

An optimized crystal structure of Sr2ScBi2 (GGA-PBE, the Alexandria database).

Cell lengths 8.4154, 8.4154, 4.8266 Å; angles 90.00, 90.00, 90.00 degrees
Fractional positions:
Sr: 0.1507 0.3493 0.0000
Sr: 0.3493 0.8493 0.0000
Sr: 0.6507 0.1507 0.0000
Sr: 0.8493 0.6507 0.0000
Sc: 0.0000 0.0000 0.5000
Sc: 0.5000 0.5000 0.5000
Bi: 0.1609 0.6609 0.5000
Bi: 0.3391 0.1609 0.5000
Bi: 0.6609 0.8391 0.5000
Bi: 0.8391 0.3391 0.5000


Entry Q
# Sr2ScBi2

An optimized crystal structure of Sr2ScBi2 (GGA-PBE, the Alexandria database).

Cell lengths 8.7486, 8.7486, 8.7486 Å; angles 128.08, 72.11, 133.66 degrees
Fractional positions:
Sr: 0.1459 0.1791 0.3249
Sr: 0.3541 0.6791 0.0332
Sr: 0.6459 0.3209 0.9668
Sr: 0.8541 0.8209 0.6751
Sc: 0.2500 0.7500 0.5000
Sc: 0.7500 0.2500 0.5000
Bi: 0.1148 0.7336 0.8484
Bi: 0.3852 0.2336 0.6188
Bi: 0.6148 0.7664 0.3812
Bi: 0.8852 0.2664 0.1516


entry Q ends up most stable, edging out the next structure by 7.6 kJ/mol of atoms.


Entry P
# Sr2Sc2Bi

An optimized crystal structure of Sr2Sc2Bi (GGA-PBE, the Alexandria database).

Cell lengths 7.9104, 7.9104, 5.5708 Å; angles 90.00, 90.00, 90.00 degrees
Fractional positions:
Sr: 0.1661 0.3339 0.0000
Sr: 0.3339 0.8339 0.0000
Sr: 0.6661 0.1661 0.0000
Sr: 0.8339 0.6661 0.0000
Sc: 0.1429 0.6429 0.5000
Sc: 0.3571 0.1429 0.5000
Sc: 0.6429 0.8571 0.5000
Sc: 0.8571 0.3571 0.5000
Bi: 0.0000 0.0000 0.5000
Bi: 0.5000 0.5000 0.5000


Entry Q
# Sr2Sc2Bi

An optimized crystal structure of Sr2Sc2Bi (GGA-PBE, the Alexandria database).

Cell lengths 6.3099, 6.3099, 5.5534 Å; angles 90.00, 90.00, 90.00 degrees
Fractional positions:
Sr: 0.0000 0.5000 0.0000
Sr: 0.5000 0.0000 0.0000
Sc: 0.0000 0.0000 0.5000
Sc: 0.5000 0.5000 0.5000
Bi: 0.0000 0.0000 0.0000


entry P ends up most stable, edging out the next structure by 37.5 kJ/mol of atoms.


Entry P
# ScTa3Bi

An optimized crystal structure of ScTa3Bi (GGA-PBE, the Alexandria database).

Cell lengths 5.1365, 5.1365, 5.1365 Å; angles 90.00, 90.00, 90.00 degrees
Fractional positions:
Sc: 0.0000 0.0000 0.0000
Ta: 0.0000 0.5000 0.5000
Ta: 0.5000 0.0000 0.5000
Ta: 0.5000 0.5000 0.0000
Bi: 0.5000 0.5000 0.5000


Entry Q
# ScTa3Bi

An optimized crystal structure of ScTa3Bi (GGA-PBE, the Alexandria database).

Cell lengths 4.8604, 4.8604, 4.8604 Å; angles 90.00, 90.00, 90.00 degrees
Fractional positions:
Sc: 0.0000 0.0000 0.0000
Ta: 0.0000 0.0000 0.5000
Ta: 0.0000 0.5000 0.0000
Ta: 0.5000 0.0000 0.0000
Bi: 0.5000 0.5000 0.5000


entry Q ends up most stable, edging out the next structure by 18.2 kJ/mol of atoms.


Entry P
# Tb2ScBi

An optimized crystal structure of Tb2ScBi (GGA-PBE, the Alexandria database).

Cell lengths 11.9515, 11.9515, 11.9515 Å; angles 16.76, 16.76, 16.76 degrees
Fractional positions:
Tb: 0.0902 0.0902 0.0902
Tb: 0.9098 0.9098 0.9098
Sc: 0.5000 0.5000 0.5000
Bi: 0.0000 0.0000 0.0000


Entry Q
# Tb2ScBi

An optimized crystal structure of Tb2ScBi (GGA-PBE, the Alexandria database).

Cell lengths 10.8434, 10.8434, 10.8434 Å; angles 19.01, 19.01, 19.01 degrees
Fractional positions:
Tb: 0.0000 0.0000 0.0000
Tb: 0.1654 0.1654 0.1654
Sc: 0.4159 0.4159 0.4159
Bi: 0.5825 0.5825 0.5825


Entry R
# Tb2ScBi

An optimized crystal structure of Tb2ScBi (GGA-PBE, the Alexandria database).

Cell lengths 4.1367, 4.1367, 6.6310 Å; angles 90.00, 90.00, 90.00 degrees
Fractional positions:
Tb: 0.0000 0.0000 0.2465
Tb: 0.0000 0.0000 0.7535
Sc: 0.5000 0.5000 0.5000
Bi: 0.5000 0.5000 0.0000


entry R ends up most stable, edging out the next structure by 19.5 kJ/mol of atoms.